Entry from the Alexandria database: Li2Sn8Pd after structural relaxation (GGA-PBE).

The value obtained for the total magnetization is 0.000 μB/f.u. As for the energy: -3.911 eV/atom. For the formation energy, the calculation gives -0.179 eV/atom.

Lattice parameters (Å, degrees): 20.023 4.450 6.369 90.00 107.97 90.00
Space group C2/m (No. 12)
Symmetry-distinct sites (fractional):
Li  0.202  0.000  0.101 x4
Sn  0.022  0.000  0.787 x4
Sn  0.108  0.500  0.287 x4
Sn  0.134  0.500  0.814 x4
Sn  0.208  0.000  0.593 x4
Pd  0.000  0.500  0.500 x2

---

Entry from the Alexandria database: Li3Sn2Pd after structural relaxation (GGA-PBE).

The value obtained for the total magnetization is 0.000 μB/f.u. As for the energy: -3.603 eV/atom. For the formation energy, the calculation gives -0.446 eV/atom.

Lattice parameters (Å, degrees): 5.866 5.874 12.649 90.00 103.18 90.00
Space group C2/c (No. 15)
Symmetry-distinct sites (fractional):
Li  0.000  0.124  0.250 x4
Li  0.170  0.126  0.588 x8
Sn  0.175  0.374  0.098 x8
Pd  0.000  0.375  0.750 x4